[1]
NaHo4Cd5: optimized geometry, PBE.

abc: 3.7064 3.7064 18.9240
angles: 90.00 90.00 90.00
Space group P4/mmm (No. 123)
Asymmetric unit:
Na 0.0000 0.0000 0.0000 [1 per cell]
Ho 0.0000 0.0000 0.2023 [2 per cell]
Ho 0.0000 0.0000 0.4012 [2 per cell]
Cd 0.5000 0.5000 0.1054 [2 per cell]
Cd 0.5000 0.5000 0.3023 [2 per cell]
Cd 0.5000 0.5000 0.5000 [1 per cell]

[2]
NaHoCd2: optimized geometry, PBE.

abc: 7.3652 7.3652 7.3652
angles: 90.00 90.00 90.00
Space group Fm-3m (No. 225)
Asymmetric unit:
Na 0.0000 0.0000 0.0000 [4 per cell]
Ho 0.0000 0.0000 0.5000 [4 per cell]
Cd 0.2500 0.2500 0.2500 [8 per cell]

[3]
NaHo2Cd: optimized geometry, PBE.

abc: 3.4568 3.4568 36.1804
angles: 90.00 90.00 120.00
Space group R-3m (No. 166, hexagonal axes)
Asymmetric unit:
Na 0.0000 0.0000 0.0000 [3 per cell]
Ho 0.0000 0.0000 0.0971 [6 per cell]
Cd 0.0000 0.0000 0.5000 [3 per cell]

[4]
NaHoCd2: optimized geometry, PBE.

abc: 5.4653 5.4653 3.4414
angles: 90.00 90.00 90.00
Space group P4/mmm (No. 123)
Asymmetric unit:
Na 0.0000 0.0000 0.0000 [1 per cell]
Ho 0.5000 0.5000 0.0000 [1 per cell]
Cd 0.0000 0.5000 0.5000 [2 per cell]

The records above give, respectively, electronic total energy values of -26.79, -8.26, -10.93, -8.44 eV/f.u..